VASP calculation (GGA-PBE) on TmScCoRh after structural relaxation.

Values from the calculation:
The mass density comes out at 9.005 g/cm³. As for the calculated total energy: -27.70 eV per cell. The calculation puts the density of states at the Fermi level at 2.5 states/eV per cell.

a b c (Å): 4.6103 4.6103 4.6103
angles (deg): 60.00 60.00 60.00
Element x y z (fractional)
Sc  0.0000  0.0000  0.0000
Co  0.2500  0.2500  0.2500
Tm  0.5000  0.5000  0.5000
Rh  0.7500  0.7500  0.7500